# 1
The following is a GGA-PBE calculation of a geometry-optimized Sr4AlIn structure, from Alexandria.

Properties
Its energy of formation from the pure elements is 10.6 kcal/mol of atoms. The energy above the most stable polymorph in this dataset is 639 meV/atom. The calculation puts the volume at 1002 Å³ per cell. For the final energy, the calculation gives -41.8 eV for the cell shown.

Cell: 10.008 10.008 10.008 Å, 90.00 90.00 90.00°
Space group F-43m (No. 216)
Unique sites:
Sr: 0.125 0.125 0.125 (multiplicity 16)
Al: 0.250 0.250 0.750 (multiplicity 4)
In: 0.000 0.000 0.500 (multiplicity 4)


# 2
The following is a GGA-PBE calculation of a geometry-optimized PuTiTcIr structure, from Alexandria.

Properties
Its energy of formation from the pure elements is -8.3 kcal/mol of atoms. The calculation puts the volume at 276 Å³ per cell. For the final energy, the calculation gives -171.6 eV for the cell shown.

Cell: 6.507 6.507 6.507 Å, 90.00 90.00 90.00°
Space group F-43m (No. 216)
Unique sites:
Pu: 0.000 0.000 0.000 (multiplicity 4)
Ti: 0.000 0.000 0.500 (multiplicity 4)
Tc: 0.250 0.250 0.750 (multiplicity 4)
Ir: 0.250 0.250 0.250 (multiplicity 4)


# 3
The following is a GGA-PBE calculation of a geometry-optimized NbPd3 structure, from Alexandria.

Properties
Its energy of formation from the pure elements is -9.7 kcal/mol of atoms. The calculation puts the volume at 126 Å³ per cell. For the final energy, the calculation gives -54.7 eV for the cell shown.

Cell: 3.941 3.941 8.085 Å, 90.00 90.00 90.00°
Space group I4/mmm (No. 139)
Unique sites:
Nb: 0.000 0.000 0.000 (multiplicity 2)
Pd: 0.000 0.000 0.500 (multiplicity 2)
Pd: 0.000 0.500 0.250 (multiplicity 4)


# 4
The following is a GGA-PBE calculation of a geometry-optimized Ho2Tm3Pb3 structure, from Alexandria.

Properties
Its energy of formation from the pure elements is -7.8 kcal/mol of atoms. The calculation puts the volume at 449 Å³ per cell. For the final energy, the calculation gives -72.8 eV for the cell shown.

Cell: 4.386 4.858 21.093 Å, 90.00 90.00 90.00°
Space group Immm (No. 71)
Unique sites:
Ho: 0.000 0.000 0.245 (multiplicity 4)
Tm: 0.000 0.000 0.000 (multiplicity 2)
Tm: 0.000 0.500 0.122 (multiplicity 4)
Pb: 0.000 0.000 0.500 (multiplicity 2)
Pb: 0.000 0.500 0.370 (multiplicity 4)


# 5
The following is a GGA-PBE calculation of a geometry-optimized AgH6SN2 structure, from Alexandria.

Properties
The calculation puts the volume at 517 Å³ per cell. For the final energy, the calculation gives -182.9 eV for the cell shown.

Cell: 8.225 12.416 5.061 Å, 90.00 90.12 90.00°
Space group C2/c (No. 15)
Unique sites:
Ag: 0.000 0.114 0.250 (multiplicity 4)
H: 0.171 0.250 0.748 (multiplicity 8)
H: 0.181 0.366 0.588 (multiplicity 8)
H: 0.182 0.365 0.915 (multiplicity 8)
S: 0.000 0.089 0.750 (multiplicity 4)
N: 0.223 0.326 0.750 (multiplicity 8)


# 6
The following is a GGA-PBE calculation of a geometry-optimized Ti2CuBr8 structure, from Alexandria.

Properties
The formation energy (no corrections) comes out at -0.9553 eV per atom. The calculation puts the volume at 872 Å³ per cell. For the final energy, the calculation gives -87.6 eV for the cell shown.

Cell: 12.890 10.190 6.648 Å, 90.00 92.48 90.00°
Space group C2/m (No. 12)
Unique sites:
Ti: 0.188 0.000 0.349 (multiplicity 4)
Cu: 0.000 0.000 0.000 (multiplicity 2)
Br: 0.097 0.186 0.205 (multiplicity 8)
Br: 0.138 0.500 0.743 (multiplicity 4)
Br: 0.177 0.000 0.704 (multiplicity 4)


# 7
The following is a GGA-PBE calculation of a geometry-optimized La6NdTe8 structure, from Alexandria.

Properties
The formation energy (no corrections) comes out at -1.5877 eV per atom. The calculation puts the volume at 2152 Å³ per cell. For the final energy, the calculation gives -333.1 eV for the cell shown.

Cell: 12.910 12.910 12.910 Å, 90.00 90.00 90.00°
Space group Fm-3m (No. 225)
Unique sites:
La: 0.000 0.250 0.250 (multiplicity 24)
Nd: 0.000 0.000 0.000 (multiplicity 4)
Te: 0.000 0.000 0.251 (multiplicity 24)
Te: 0.250 0.250 0.250 (multiplicity 8)


# 8
The following is a GGA-PBE calculation of a geometry-optimized Ca3Zn4Rh2 structure, from Alexandria.

Properties
Its energy of formation from the pure elements is -8.7 kcal/mol of atoms. The calculation puts the volume at 375 Å³ per cell. For the final energy, the calculation gives -58.4 eV for the cell shown.

Cell: 10.279 4.555 8.507 Å, 90.00 109.83 90.00°
Space group C2/m (No. 12)
Unique sites:
Ca: 0.000 0.000 0.000 (multiplicity 2)
Ca: 0.139 0.500 0.686 (multiplicity 4)
Zn: 0.096 0.000 0.413 (multiplicity 4)
Zn: 0.217 0.500 0.070 (multiplicity 4)
Rh: 0.167 0.500 0.338 (multiplicity 4)


> Number 3 is which compound?

NbPd3